Density functional theory data (PBE) for a relaxed MgPaTcRh crystal.

Results
Total magnetization in μB/f.u.: 0.00
ΔE_f in meV per atom: -398
V in Å³ per cell: 288.1

abc: 6.605 6.605 6.605
angles: 90.00 90.00 90.00
Space group F-43m (No. 216)
Symmetry-distinct sites (fractional):
Mg (0.000, 0.000, 0.000) x4
Pa (0.000, 0.000, 0.500) x4
Tc (0.250, 0.250, 0.250) x4
Rh (0.250, 0.250, 0.750) x4